Entry 1:
The following is a DFT calculation (GGA-PBE) of crystalline AcPaPO at its relaxed geometry.

- Energy above the lowest structure with this stoichiometry: 0.000 eV/atom
- Magnetic moment: 0.1 μB/cell
- Raw total energy: -7.357 eV/atom

Geometry as CIF:
```
data_AcPaPO
_cell_length_a 4.3240
_cell_length_b 4.3240
_cell_length_c 9.8977
_cell_angle_alpha 90.00
_cell_angle_beta 90.00
_cell_angle_gamma 90.00
_symmetry_space_group_name_H-M 'P 1'
_symmetry_Int_Tables_number 1
loop_
_symmetry_equiv_pos_as_xyz
'x,y,z'
loop_
_atom_site_label
_atom_site_type_symbol
_atom_site_fract_x
_atom_site_fract_y
_atom_site_fract_z
_atom_site_occupancy
Ac1 Ac 0.2500 0.2500 0.1240 1
Ac2 Ac 0.7500 0.7500 0.8760 1
Pa1 Pa 0.2500 0.7500 0.5000 1
Pa2 Pa 0.7500 0.2500 0.5000 1
P1 P 0.2500 0.2500 0.6948 1
P2 P 0.7500 0.7500 0.3052 1
O1 O 0.2500 0.7500 0.0000 1
O2 O 0.7500 0.2500 0.0000 1
```


Entry 2:
The following is a DFT calculation (GGA-PBE) of crystalline LaPrTl2Pd4 at its relaxed geometry.

- Magnetic moment: 0.0 μB/cell
- Raw total energy: -5.037 eV/atom

Geometry as CIF:
```
data_LaPrTl2Pd4
_cell_length_a 4.7381
_cell_length_b 4.7381
_cell_length_c 9.1682
_cell_angle_alpha 90.00
_cell_angle_beta 90.00
_cell_angle_gamma 120.00
_symmetry_space_group_name_H-M 'P 1'
_symmetry_Int_Tables_number 1
loop_
_symmetry_equiv_pos_as_xyz
'x,y,z'
loop_
_atom_site_label
_atom_site_type_symbol
_atom_site_fract_x
_atom_site_fract_y
_atom_site_fract_z
_atom_site_occupancy
La1 La 0.0000 0.0000 0.0000 1
Pr1 Pr 0.3333 0.6667 0.5000 1
Tl1 Tl 0.6667 0.3333 0.2537 1
Tl2 Tl 0.6667 0.3333 0.7463 1
Pd1 Pd 0.0000 0.0000 0.3375 1
Pd2 Pd 0.0000 0.0000 0.6625 1
Pd3 Pd 0.3333 0.6667 0.1631 1
Pd4 Pd 0.3333 0.6667 0.8369 1
```


Entry 3:
The following is a DFT calculation (GGA-PBE) of crystalline RbNbAs2O8 at its relaxed geometry.

- Energy above the lowest structure with this stoichiometry: 0.000 eV/atom
- Magnetic moment: 0.0 μB/cell
- Raw total energy: -6.701 eV/atom

Geometry as CIF:
```
data_RbNbAs2O8
_cell_length_a 5.0863
_cell_length_b 5.0863
_cell_length_c 8.2365
_cell_angle_alpha 93.96
_cell_angle_beta 93.96
_cell_angle_gamma 64.51
_symmetry_space_group_name_H-M 'P 1'
_symmetry_Int_Tables_number 1
loop_
_symmetry_equiv_pos_as_xyz
'x,y,z'
loop_
_atom_site_label
_atom_site_type_symbol
_atom_site_fract_x
_atom_site_fract_y
_atom_site_fract_z
_atom_site_occupancy
Rb1 Rb 0.0000 0.0000 0.0000 1
Nb1 Nb 0.0000 0.0000 0.5000 1
As1 As 0.3679 0.3679 0.7159 1
As2 As 0.6321 0.6321 0.2841 1
O1 O 0.2268 0.2268 0.5525 1
O2 O 0.2349 0.7339 0.6765 1
O3 O 0.2661 0.7651 0.3235 1
O4 O 0.3097 0.3097 0.9020 1
O5 O 0.6903 0.6903 0.0980 1
O6 O 0.7339 0.2349 0.6765 1
O7 O 0.7651 0.2661 0.3235 1
O8 O 0.7732 0.7732 0.4475 1
```


Entry 4:
The following is a DFT calculation (GGA-PBE) of crystalline CsInPdS3 at its relaxed geometry.

- Energy above the lowest structure with this stoichiometry: 0.042 eV/atom
- Raw total energy: -4.097 eV/atom

Geometry as CIF:
```
data_CsInPdS3
_cell_length_a 9.2874
_cell_length_b 3.7969
_cell_length_c 10.3176
_cell_angle_alpha 90.00
_cell_angle_beta 109.39
_cell_angle_gamma 90.00
_symmetry_space_group_name_H-M 'P 1'
_symmetry_Int_Tables_number 1
loop_
_symmetry_equiv_pos_as_xyz
'x,y,z'
loop_
_atom_site_label
_atom_site_type_symbol
_atom_site_fract_x
_atom_site_fract_y
_atom_site_fract_z
_atom_site_occupancy
Cs1 Cs 0.2046 0.2500 0.2338 1
Cs2 Cs 0.7954 0.7500 0.7662 1
In1 In 0.3392 0.7500 0.8937 1
In2 In 0.6608 0.2500 0.1063 1
Pd1 Pd 0.1085 0.2500 0.6081 1
Pd2 Pd 0.8915 0.7500 0.3919 1
S1 S 0.1382 0.2500 0.8605 1
S2 S 0.1679 0.7500 0.5044 1
S3 S 0.4873 0.7500 0.1554 1
S4 S 0.5127 0.2500 0.8446 1
S5 S 0.8321 0.2500 0.4956 1
S6 S 0.8618 0.7500 0.1395 1
```


Which value of raw total energy does entry 1 give?
-7.357 eV/atom